! CaIrOs2 PBE relaxed; values from VASP
! SG: P4mm (99)
! formation energy from the elements: 0.219 eV per atom
! energy relative to the lowest polymorph listed for this composition: 0.0 kJ/mol of formula units
&SYSTEM
  ibrav = 0, nat = 4, ntyp = 3
/
ATOMIC_SPECIES
Ca 40.08 Ca.upf
Ir 192.22 Ir.upf
Os 190.23 Os.upf
ATOMIC_POSITIONS crystal
Ca 0.000 0.000 0.000
Ir 0.500 0.500 0.283
Os 0.000 0.000 0.503
Os 0.500 0.500 0.709
CELL_PARAMETERS angstrom
2.840 0.000 0.000
0.000 2.840 0.000
0.000 0.000 8.308

=====

! LiMg2Os PBE relaxed; values from VASP
! SG: F-43m (216)
! formation energy from the elements: 0.310 eV per atom
&SYSTEM
  ibrav = 0, nat = 4, ntyp = 3
/
ATOMIC_SPECIES
Li 6.94 Li.upf
Mg 24.30 Mg.upf
Os 190.23 Os.upf
ATOMIC_POSITIONS crystal
Li 0.000 0.000 0.000
Mg 0.500 0.500 0.500
Mg 0.750 0.750 0.750
Os 0.250 0.250 0.250
CELL_PARAMETERS angstrom
0.000 3.174 3.174
3.174 0.000 3.174
3.174 3.174 0.000

=====

! Pm4Ag3Ir PBE relaxed; values from VASP
! SG: P4/mmm (123)
! formation energy from the elements: -0.371 eV per atom
&SYSTEM
  ibrav = 0, nat = 8, ntyp = 3
/
ATOMIC_SPECIES
Pm 145.00 Pm.upf
Ag 107.87 Ag.upf
Ir 192.22 Ir.upf
ATOMIC_POSITIONS crystal
Pm 0.000 0.000 0.110
Pm 0.000 0.000 0.371
Pm 0.000 0.000 0.629
Pm 0.000 0.000 0.890
Ag 0.500 0.500 0.245
Ag 0.500 0.500 0.500
Ag 0.500 0.500 0.755
Ir 0.500 0.500 0.000
CELL_PARAMETERS angstrom
3.644 0.000 0.000
0.000 3.644 0.000
0.000 0.000 14.988

=====

! SmAgP2O8 PBE relaxed; values from VASP
! SG: I-4m2 (119)
! ΔE_f (raw): -2.01 eV/atom
&SYSTEM
  ibrav = 0, nat = 12, ntyp = 4
/
ATOMIC_SPECIES
Sm 150.36 Sm.upf
Ag 107.87 Ag.upf
P 30.97 P.upf
O 16.00 O.upf
ATOMIC_POSITIONS crystal
Sm 0.000 0.000 0.000
Ag 0.750 0.250 0.500
P 0.250 0.750 0.500
P 0.500 0.500 0.000
O 0.098 0.425 0.327
O 0.098 0.771 0.673
O 0.172 0.340 0.832
O 0.229 0.902 0.327
O 0.508 0.340 0.168
O 0.575 0.902 0.673
O 0.660 0.492 0.832
O 0.660 0.828 0.168
CELL_PARAMETERS angstrom
-3.557 3.557 3.106
3.557 -3.557 3.106
3.557 3.557 -3.106

=====

! NiIrRh PBE relaxed; values from VASP
! SG: P3m1 (156)
! formation energy from the elements: 0.183 eV per atom
! energy relative to the lowest polymorph listed for this composition: 50.3 kJ/mol of formula units
&SYSTEM
  ibrav = 0, nat = 3, ntyp = 3
/
ATOMIC_SPECIES
Ni 58.69 Ni.upf
Ir 192.22 Ir.upf
Rh 102.91 Rh.upf
ATOMIC_POSITIONS crystal
Ni 0.000 0.000 0.000
Ir 0.333 0.667 0.718
Rh 0.667 0.333 0.215
CELL_PARAMETERS angstrom
4.193 0.000 0.000
-2.097 3.631 0.000
0.000 0.000 2.663

=====

! CaPaCl6 PBE relaxed; values from VASP
! SG: C2/m (12)
! ΔE_f (raw): -2.07 eV/atom
&SYSTEM
  ibrav = 0, nat = 8, ntyp = 3
/
ATOMIC_SPECIES
Ca 40.08 Ca.upf
Pa 231.04 Pa.upf
Cl 35.45 Cl.upf
ATOMIC_POSITIONS crystal
Ca 0.000 0.000 0.000
Pa 0.500 0.500 0.500
Cl 0.116 0.403 0.257
Cl 0.253 0.253 0.741
Cl 0.403 0.116 0.257
Cl 0.597 0.884 0.743
Cl 0.747 0.747 0.259
Cl 0.884 0.597 0.743
CELL_PARAMETERS angstrom
3.401 -6.219 0.000
3.401 6.219 0.000
-1.852 0.000 6.542

=====

! Zr3CdC PBE relaxed; values from VASP
! SG: Amm2 (38)
! formation energy from the elements: 0.442 eV per atom
! energy relative to the lowest polymorph listed for this composition: 420.1 kJ/mol of formula units
&SYSTEM
  ibrav = 0, nat = 5, ntyp = 3
/
ATOMIC_SPECIES
Zr 91.22 Zr.upf
Cd 112.41 Cd.upf
C 12.01 C.upf
ATOMIC_POSITIONS crystal
Zr 0.000 0.000 0.000
Zr 0.500 0.090 0.618
Zr 0.500 0.618 0.090
Cd 0.500 0.182 0.182
C 0.000 0.842 0.842
CELL_PARAMETERS angstrom
3.145 0.000 0.000
0.000 3.244 7.438
0.000 -3.244 7.438

=====

! ReMoAu2 PBE relaxed; values from VASP
! SG: F-43m (216)
! formation energy from the elements: 0.598 eV per atom
! energy relative to the lowest polymorph listed for this composition: 132.1 kJ/mol of formula units
&SYSTEM
  ibrav = 0, nat = 4, ntyp = 3
/
ATOMIC_SPECIES
Re 186.21 Re.upf
Mo 95.94 Mo.upf
Au 196.97 Au.upf
ATOMIC_POSITIONS crystal
Re 0.000 0.000 0.000
Mo 0.250 0.250 0.250
Au 0.500 0.500 0.500
Au 0.750 0.750 0.750
CELL_PARAMETERS angstrom
0.000 3.223 3.223
3.223 0.000 3.223
3.223 3.223 0.000

=====

! Cd2Se PBE relaxed; values from VASP
! SG: Cmcm (63)
! ΔE_f (raw): -0.14 eV/atom
! energy relative to the lowest polymorph listed for this composition: 34.2 kJ/mol of formula units
&SYSTEM
  ibrav = 0, nat = 6, ntyp = 2
/
ATOMIC_SPECIES
Cd 112.41 Cd.upf
Se 78.96 Se.upf
ATOMIC_POSITIONS crystal
Cd 0.080 0.920 0.750
Cd 0.281 0.719 0.250
Cd 0.719 0.281 0.750
Cd 0.920 0.080 0.250
Se 0.409 0.591 0.750
Se 0.591 0.409 0.250
CELL_PARAMETERS angstrom
1.960 -9.951 0.000
1.960 9.951 0.000
0.000 0.000 3.936

=====

! Tb2Pm7Er3 PBE relaxed; values from VASP
! SG: P2/m (10)
! formation energy from the elements: 0.290 eV per atom
! energy relative to the lowest polymorph listed for this composition: 203.7 kJ/mol of formula units
&SYSTEM
  ibrav = 0, nat = 12, ntyp = 3
/
ATOMIC_SPECIES
Tb 158.93 Tb.upf
Pm 145.00 Pm.upf
Er 167.26 Er.upf
ATOMIC_POSITIONS crystal
Tb 0.108 0.000 0.278
Tb 0.892 0.000 0.722
Pm 0.057 0.500 0.818
Pm 0.258 0.000 0.545
Pm 0.414 0.000 0.829
Pm 0.500 0.500 0.000
Pm 0.586 0.000 0.171
Pm 0.742 0.000 0.455
Pm 0.943 0.500 0.182
Er 0.000 0.000 0.000
Er 0.436 0.500 0.344
Er 0.564 0.500 0.656
CELL_PARAMETERS angstrom
6.236 0.000 0.000
0.000 5.500 0.000
-0.092 0.000 12.312

=====

! Y6Tl2Ru PBE relaxed; values from VASP
! SG: P2_1/c (14)
! formation energy from the elements: -0.237 eV per atom
&SYSTEM
  ibrav = 0, nat = 18, ntyp = 3
/
ATOMIC_SPECIES
Y 88.91 Y.upf
Tl 204.38 Tl.upf
Ru 101.07 Ru.upf
ATOMIC_POSITIONS crystal
Y 0.147 0.194 0.463
Y 0.147 0.306 0.963
Y 0.268 0.691 0.460
Y 0.268 0.809 0.960
Y 0.336 0.008 0.247
Y 0.336 0.492 0.747
Y 0.664 0.508 0.253
Y 0.664 0.992 0.753
Y 0.732 0.191 0.040
Y 0.732 0.309 0.540
Y 0.853 0.694 0.037
Y 0.853 0.806 0.537
Tl 0.218 0.076 0.750
Tl 0.218 0.424 0.250
Tl 0.782 0.576 0.750
Tl 0.782 0.924 0.250
Ru 0.500 0.000 0.500
Ru 0.500 0.500 0.000
CELL_PARAMETERS angstrom
7.012 0.000 0.000
0.000 7.411 0.000
-6.910 0.000 10.358

=====

! CsCa2Pb PBE relaxed; values from VASP
! SG: I-42d (122)
! formation energy from the elements: 0.114 eV per atom
&SYSTEM
  ibrav = 0, nat = 8, ntyp = 3
/
ATOMIC_SPECIES
Cs 132.91 Cs.upf
Ca 40.08 Ca.upf
Pb 207.20 Pb.upf
ATOMIC_POSITIONS crystal
Cs 0.000 0.000 0.000
Cs 0.750 0.250 0.500
Ca 0.374 0.625 0.249
Ca 0.375 0.624 0.749
Ca 0.376 0.125 0.751
Ca 0.875 0.626 0.251
Pb 0.250 0.750 0.500
Pb 0.500 0.500 0.000
CELL_PARAMETERS angstrom
-3.766 3.766 9.681
3.766 -3.766 9.681
3.766 3.766 -9.681

=====

! Tl12Sb3Pb5 PBE relaxed; values from VASP
! SG: Ia-3d (230)
! ΔE_f (raw): 0.22 eV/atom
&SYSTEM
  ibrav = 0, nat = 80, ntyp = 3
/
ATOMIC_SPECIES
Tl 204.38 Tl.upf
Sb 121.76 Sb.upf
Pb 207.20 Pb.upf
ATOMIC_POSITIONS crystal
Tl 0.064 0.232 0.134
Tl 0.064 0.332 0.930
Tl 0.070 0.634 0.402
Tl 0.070 0.936 0.668
Tl 0.098 0.732 0.668
Tl 0.098 0.866 0.430
Tl 0.134 0.064 0.232
Tl 0.134 0.570 0.902
Tl 0.168 0.232 0.598
Tl 0.168 0.436 0.570
Tl 0.232 0.134 0.064
Tl 0.232 0.598 0.168
Tl 0.268 0.332 0.902
Tl 0.268 0.436 0.366
Tl 0.332 0.902 0.268
Tl 0.332 0.930 0.064
Tl 0.366 0.268 0.436
Tl 0.366 0.598 0.930
Tl 0.402 0.070 0.634
Tl 0.402 0.832 0.768
Tl 0.430 0.098 0.866
Tl 0.430 0.832 0.564
Tl 0.436 0.366 0.268
Tl 0.436 0.570 0.168
Tl 0.564 0.430 0.832
Tl 0.564 0.634 0.732
Tl 0.570 0.168 0.436
Tl 0.570 0.902 0.134
Tl 0.598 0.168 0.232
Tl 0.598 0.930 0.366
Tl 0.634 0.402 0.070
Tl 0.634 0.732 0.564
Tl 0.668 0.070 0.936
Tl 0.668 0.098 0.732
Tl 0.732 0.564 0.634
Tl 0.732 0.668 0.098
Tl 0.768 0.402 0.832
Tl 0.768 0.866 0.936
Tl 0.832 0.564 0.430
Tl 0.832 0.768 0.402
Tl 0.866 0.430 0.098
Tl 0.866 0.936 0.768
Tl 0.902 0.134 0.570
Tl 0.902 0.268 0.332
Tl 0.930 0.064 0.332
Tl 0.930 0.366 0.598
Tl 0.936 0.668 0.070
Tl 0.936 0.768 0.866
Sb 0.125 0.250 0.375
Sb 0.125 0.375 0.750
Sb 0.250 0.375 0.125
Sb 0.250 0.875 0.625
Sb 0.375 0.125 0.250
Sb 0.375 0.750 0.125
Sb 0.625 0.250 0.875
Sb 0.625 0.875 0.750
Sb 0.750 0.125 0.375
Sb 0.750 0.625 0.875
Sb 0.875 0.625 0.250
Sb 0.875 0.750 0.625
Pb 0.000 0.000 0.000
Pb 0.000 0.000 0.500
Pb 0.000 0.500 0.000
Pb 0.000 0.500 0.500
Pb 0.125 0.750 0.875
Pb 0.125 0.875 0.250
Pb 0.250 0.125 0.875
Pb 0.250 0.625 0.375
Pb 0.375 0.250 0.625
Pb 0.375 0.625 0.750
Pb 0.500 0.000 0.000
Pb 0.500 0.000 0.500
Pb 0.500 0.500 0.000
Pb 0.500 0.500 0.500
Pb 0.625 0.375 0.250
Pb 0.625 0.750 0.375
Pb 0.750 0.375 0.625
Pb 0.750 0.875 0.125
Pb 0.875 0.125 0.750
Pb 0.875 0.250 0.125
CELL_PARAMETERS angstrom
-9.145 9.145 9.145
9.145 -9.145 9.145
9.145 9.145 -9.145

=====

! Pm2Y3PuS6 PBE relaxed; values from VASP
! SG: C2/m (12)
! ΔE_f (raw): -1.99 eV/atom
&SYSTEM
  ibrav = 0, nat = 12, ntyp = 4
/
ATOMIC_SPECIES
Pm 145.00 Pm.upf
Y 88.91 Y.upf
Pu 244.00 Pu.upf
S 32.06 S.upf
ATOMIC_POSITIONS crystal
Pm 0.165 0.165 0.331
Pm 0.835 0.835 0.669
Y 0.167 0.167 0.836
Y 0.500 0.500 0.500
Y 0.833 0.833 0.164
Pu 0.500 0.500 0.000
S 0.003 0.003 0.749
S 0.332 0.332 0.923
S 0.335 0.335 0.410
S 0.665 0.665 0.590
S 0.668 0.668 0.077
S 0.997 0.997 0.251
CELL_PARAMETERS angstrom
8.648 -1.970 0.000
8.648 1.970 0.000
-1.879 0.000 7.744

=====

! SrLa2Tl PBE relaxed; values from VASP
! SG: Fm-3m (225)
! formation energy from the elements: -0.051 eV per atom
! energy relative to the lowest polymorph listed for this composition: 48.9 kJ/mol of formula units
&SYSTEM
  ibrav = 0, nat = 4, ntyp = 3
/
ATOMIC_SPECIES
Sr 87.62 Sr.upf
La 138.91 La.upf
Tl 204.38 Tl.upf
ATOMIC_POSITIONS crystal
Sr 0.000 0.000 0.000
La 0.250 0.250 0.250
La 0.750 0.750 0.750
Tl 0.500 0.500 0.500
CELL_PARAMETERS angstrom
0.000 4.124 4.124
4.124 0.000 4.124
4.124 4.124 0.000

=====

! Rb2CdAu2 PBE relaxed; values from VASP
! SG: Immm (71)
! formation energy from the elements: -0.245 eV per atom
! energy relative to the lowest polymorph listed for this composition: 2.9 kJ/mol of formula units
&SYSTEM
  ibrav = 0, nat = 5, ntyp = 3
/
ATOMIC_SPECIES
Rb 85.47 Rb.upf
Cd 112.41 Cd.upf
Au 196.97 Au.upf
ATOMIC_POSITIONS crystal
Rb 0.199 0.199 0.000
Rb 0.801 0.801 0.000
Cd 0.500 0.000 0.500
Au 0.248 0.500 0.748
Au 0.752 0.500 0.252
CELL_PARAMETERS angstrom
-2.574 2.853 5.518
2.574 -2.853 5.518
2.574 2.853 -5.518

=====

! Tl2SbP PBE relaxed; values from VASP
! SG: P4/mmm (123)
! ΔE_f (raw): 0.32 eV/atom
! energy relative to the lowest polymorph listed for this composition: 92.0 kJ/mol of formula units
&SYSTEM
  ibrav = 0, nat = 4, ntyp = 3
/
ATOMIC_SPECIES
Tl 204.38 Tl.upf
Sb 121.76 Sb.upf
P 30.97 P.upf
ATOMIC_POSITIONS crystal
Tl 0.000 0.000 0.217
Tl 0.000 0.000 0.783
Sb 0.500 0.500 0.500
P 0.500 0.500 0.000
CELL_PARAMETERS angstrom
3.262 0.000 0.000
0.000 3.262 0.000
0.000 0.000 10.054

=====

! SmZr2Al6 PBE relaxed; values from VASP
! SG: Immm (71)
! formation energy from the elements: -0.294 eV per atom
! energy relative to the lowest polymorph listed for this composition: 116.4 kJ/mol of formula units
&SYSTEM
  ibrav = 0, nat = 9, ntyp = 3
/
ATOMIC_SPECIES
Sm 150.36 Sm.upf
Zr 91.22 Zr.upf
Al 26.98 Al.upf
ATOMIC_POSITIONS crystal
Sm 0.000 0.000 0.000
Zr 0.382 0.882 0.500
Zr 0.618 0.118 0.500
Al 0.016 0.310 0.707
Al 0.317 0.500 0.817
Al 0.397 0.690 0.707
Al 0.603 0.310 0.293
Al 0.683 0.500 0.183
Al 0.984 0.690 0.293
CELL_PARAMETERS angstrom
-2.131 3.455 6.553
2.131 -3.455 6.553
2.131 3.455 -6.553

=====

! Mn2CuIr PBE relaxed; values from VASP
! SG: C2/m (12)
! formation energy from the elements: 0.141 eV per atom
&SYSTEM
  ibrav = 0, nat = 4, ntyp = 3
/
ATOMIC_SPECIES
Mn 54.94 Mn.upf
Cu 63.55 Cu.upf
Ir 192.22 Ir.upf
ATOMIC_POSITIONS crystal
Mn 0.250 0.250 0.244
Mn 0.750 0.750 0.756
Cu 0.500 0.500 0.000
Ir 0.000 0.000 0.500
CELL_PARAMETERS angstrom
4.318 -1.348 0.000
4.318 1.348 0.000
-0.877 0.000 4.321

=====

! USn2S6 PBE relaxed; values from VASP
! SG: Amm2 (38)
! ΔE_f (raw): -0.52 eV/atom
&SYSTEM
  ibrav = 0, nat = 9, ntyp = 3
/
ATOMIC_SPECIES
U 238.03 U.upf
Sn 118.71 Sn.upf
S 32.06 S.upf
ATOMIC_POSITIONS crystal
U 0.000 0.000 0.000
Sn 0.500 0.290 0.640
Sn 0.500 0.640 0.290
S 0.000 0.028 0.395
S 0.000 0.395 0.028
S 0.000 0.633 0.633
S 0.500 0.279 0.279
S 0.500 0.750 0.998
S 0.500 0.998 0.750
CELL_PARAMETERS angstrom
4.137 0.000 0.000
0.000 6.837 3.340
0.000 -6.837 3.340